No. 1
ErTm2Ag, optimized geometry, DFT PBE; distance to the lowest polymorph of the same formula = 0 kJ/mol of formula units; space-group type = P4/mmm, No. 123; calculated total energy = -4.226 eV/atom; theoretical density = 9.44 Mg/m³; calculated formation energy = -0.14 eV per atom
1.0
3.5086 0.0000 0.0000
0.0000 3.5086 0.0000
0.0000 0.0000 8.7547
Er Tm Ag
1 2 1
Direct
0.0000 0.0000 0.0000 Er
0.5000 0.5000 0.2841 Tm
0.5000 0.5000 0.7159 Tm
0.0000 0.0000 0.5000 Ag

=====

No. 2
ErTm2Ag, optimized geometry, DFT PBE; distance to the lowest polymorph of the same formula = 34 kJ/mol of formula units; space-group type = C2/c, No. 15; calculated total energy = -4.139 eV/atom; theoretical density = 9.48 Mg/m³; calculated formation energy = -0.05 eV per atom
1.0
5.4781 -3.0894 0.0000
5.4781 3.0894 0.0000
-0.6403 0.0000 6.3430
Er Tm Ag
2 4 2
Direct
0.1763 0.8237 0.7500 Er
0.8237 0.1763 0.2500 Er
0.2787 0.2795 0.9214 Tm
0.2795 0.2787 0.4214 Tm
0.7205 0.7213 0.5786 Tm
0.7213 0.7205 0.0786 Tm
0.3028 0.6972 0.2500 Ag
0.6972 0.3028 0.7500 Ag